The following is a DFT calculation (PBE+U) of a relaxed structure of LiCo2O3.

Results
The calculation puts the energy at -31.2 eV/f.u.

a = 5.2604 Å, b = 5.2604 Å, c = 2.6919 Å
α = 90.00°, β = 90.00°, γ = 120.00°
Space group P-3m1 (No. 164)
One atom of each set of equivalent atoms:
Li 0.0000 0.0000 0.0000 [1 per cell]
Co 0.3333 0.6667 0.9956 [2 per cell]
O 0.0000 0.5000 0.5000 [3 per cell]